DFT (PBE with a Hubbard U) results for Li4Fe3Sn2Sb3O16 after structural relaxation.

abc: 6.3015 6.3015 9.9370
angles: 89.02 89.02 59.18
Fractional coordinates of all 28 atoms:
1 Sn 0.3443 0.3443 0.0217
2 Sn 0.6807 0.6807 0.4980
3 O 0.9581 0.5071 0.6609
4 O 0.3216 0.3216 0.3958
5 O 0.5071 0.9581 0.6609
6 O 0.1686 0.6769 0.8988
7 O 0.0327 0.4722 0.1541
8 O 0.8517 0.3344 0.4049
9 O 0.6549 0.6549 0.8964
10 O 0.0159 0.0159 0.1970
11 O 0.0060 0.0060 0.6844
12 O 0.5170 0.5170 0.6622
13 O 0.1580 0.1580 0.8962
14 O 0.8456 0.8456 0.4075
15 O 0.4823 0.4823 0.1569
16 O 0.4722 0.0327 0.1541
17 O 0.3344 0.8517 0.4049
18 O 0.6769 0.1686 0.8988
19 Sb 0.1749 0.1749 0.2845
20 Sb 0.3367 0.8305 0.7846
21 Sb 0.8305 0.3367 0.7846
22 Li 0.6589 0.6589 0.1112
23 Li 0.3209 0.3209 0.5919
24 Li 0.9985 0.9985 0.4983
25 Li 0.9861 0.9861 0.0185
26 Fe 0.1769 0.6653 0.2889
27 Fe 0.6653 0.1769 0.2889
28 Fe 0.8302 0.8302 0.7872

## Properties
Size of the total moment in μB per atom: 0.43
DFT total energy in eV/atom: -6.04
Density of states at the Fermi level in states/eV/cell: 1.043
Space group: Cm